Entry 1:
Material: Rb3Tl3ZnI8
Method: DFT, PBE
State: relaxed

The calculation puts the electronic total energy at -0.092 hartree per atom.

The space group is R-3m (No. 166, hexagonal axes) and the conventional cell measures 10.2804, 10.2804 and 24.2656 Å, with angles of 90.00, 90.00 and 120.00 degrees. The asymmetric unit holds Rb at (0.0000, 0.5000, 0.0000), Tl at (0.0000, 0.5000, 0.5000), Zn at (0.0000, 0.0000, 0.0000), I at (0.0000, 0.0000, 0.2465) and I at (0.0655, 0.5327, 0.7373).

Entry 2:
Material: CuMoRu4
Method: DFT, PBE
State: relaxed

The calculation puts the electronic total energy at -0.301 hartree per atom.

The space group is F-43m (No. 216) and the conventional cell measures 7.120, 7.120 and 7.120 Å, with angles of 90.00, 90.00 and 90.00 degrees. The asymmetric unit holds Cu at (0.000, 0.000, 0.000), Mo at (0.250, 0.250, 0.750) and Ru at (0.125, 0.125, 0.375).

Entry 3:
Material: YCrAu2
Method: DFT, PBE
State: relaxed

Its offset from the most stable computed form is 50.56 kJ/mol of atoms.

The space group is R3m (No. 160, hexagonal axes) and the conventional cell measures 3.5448, 3.5448 and 25.0653 Å, with angles of 90.00, 90.00 and 120.00 degrees. The asymmetric unit holds Y at (0.0000, 0.0000, 0.0000), Cr at (0.0000, 0.0000, 0.2364), Au at (0.0000, 0.0000, 0.4995) and Au at (0.0000, 0.0000, 0.7497).

Entry 4:
Material: Nd8Tm6Cd
Method: DFT, PBE
State: relaxed

The calculation puts the electronic total energy at -0.158 hartree per atom.

The space group is P-3 (No. 147) and the conventional cell measures 9.4135, 9.4135 and 6.4055 Å, with angles of 90.00, 90.00 and 120.00 degrees. The asymmetric unit holds Nd at (0.0432, 0.7697, 0.1838), Nd at (0.3333, 0.6667, 0.1677), Tm at (0.0990, 0.6457, 0.6730) and Cd at (0.0000, 0.0000, 0.5000).

Entry 5:
Material: Tm3Fe2Ge4
Method: DFT, PBE
State: relaxed

The calculation puts the electronic total energy at -0.222 hartree per atom.

The space group is C2/m (No. 12) and the conventional cell measures 10.417, 4.205 and 7.924 Å, with angles of 90.00, 108.54 and 90.00 degrees. The asymmetric unit holds Tm at (0.000, 0.000, 0.000), Tm at (0.123, 0.500, 0.693), Fe at (0.183, 0.500, 0.364), Ge at (0.099, 0.000, 0.403) and Ge at (0.212, 0.500, 0.083).

Entry 6:
Material: Pr2ZnGa3Au4
Method: DFT, PBE
State: relaxed

The calculation puts the electronic total energy at -0.145 hartree per atom.

The space group is P-4m2 (No. 115) and the conventional cell measures 4.464, 4.464 and 10.501 Å, with angles of 90.00, 90.00 and 90.00 degrees. The asymmetric unit holds Pr at (0.000, 0.500, 0.249), Zn at (0.500, 0.500, 0.000), Ga at (0.000, 0.000, 0.000), Ga at (0.000, 0.500, 0.632), Au at (0.000, 0.000, 0.500), Au at (0.000, 0.500, 0.870) and Au at (0.500, 0.500, 0.500).

Entry 7:
Material: Ho2BeNi4Ge3
Method: DFT, PBE
State: relaxed

The calculation puts the electronic total energy at -0.206 hartree per atom.

The space group is P-4m2 (No. 115) and the conventional cell measures 3.982, 3.982 and 9.671 Å, with angles of 90.00, 90.00 and 90.00 degrees. The asymmetric unit holds Ho at (0.000, 0.500, 0.242), Be at (0.500, 0.500, 0.000), Ni at (0.000, 0.000, 0.500), Ni at (0.000, 0.500, 0.877), Ni at (0.500, 0.500, 0.500), Ge at (0.000, 0.000, 0.000) and Ge at (0.000, 0.500, 0.636).

Entry 8:
Material: Rb3AuI6
Method: DFT, PBE
State: relaxed

Its offset from the most stable computed form is 0.48 kJ/mol of atoms.

The space group is R-3 (No. 148, hexagonal axes) and the conventional cell measures 12.9617, 12.9617 and 17.5989 Å, with angles of 90.00, 90.00 and 120.00 degrees. The asymmetric unit holds Rb at (0.0679, 0.5328, 0.3965), Au at (0.0000, 0.0000, 0.0000), Au at (0.0000, 0.0000, 0.5000), I at (0.1019, 0.8973, 0.1030) and I at (0.1064, 0.2139, 0.4040).

no.,Fermi-level density of states (states/eV/atom)
1,0.000
2,1.440
3,0.699
4,1.450
5,0.660
6,0.485
7,0.656
8,0.538